Entry 1:
First-principles (PBE+U) data for GeMo2O after structural relaxation, as listed in Alexandria.

Structure (POSCAR):
```
GeMo2O
1.0
-2.6263 2.6263 5.8948
2.6263 -2.6263 5.8948
2.6263 2.6263 -5.8948
Ge Mo O
2 4 2
Cartesian
0.0000 0.0000 0.0000 Ge
0.0000 2.6263 2.9474 Ge
1.3132 -0.8334 4.4211 Mo
1.7929 1.3132 1.4737 Mo
1.3132 3.4597 -1.4737 Mo
0.8334 1.3132 7.3686 Mo
2.6263 0.0000 2.9474 O
0.0000 0.0000 5.8948 O
```

Values from the calculation:
- density (kg/m³) = 5728
- E_tot (eV/atom) = -5.68
- symmetry = I-42d
- magnetization (μB per cell) = 12.00

***

Entry 2:
First-principles (PBE+U) data for GeMoO2 after structural relaxation, as listed in Alexandria.

Structure (POSCAR):
```
GeMoO2
1.0
-2.2434 2.2434 6.1275
2.2434 -2.2434 6.1275
2.2434 2.2434 -6.1275
Ge Mo O
2 2 4
Cartesian
0.0000 0.0000 0.0000 Ge
0.0000 2.2434 3.0638 Ge
2.2434 0.0000 3.0638 Mo
0.0000 0.0000 6.1275 Mo
1.1217 -0.9316 4.5957 O
1.3118 1.1217 1.5319 O
1.1217 3.1749 -1.5319 O
0.9316 1.1217 7.6594 O
```

Values from the calculation:
- density (kg/m³) = 5400
- E_tot (eV/atom) = -5.88
- symmetry = I-42d
- magnetization (μB per cell) = 5.95

***

Entry 3:
First-principles (PBE+U) data for GeMo2O8 after structural relaxation, as listed in Alexandria.

Structure (POSCAR):
```
GeMo2O8
1.0
6.1680 -2.7629 0.0000
6.1680 2.7629 0.0000
-0.1054 0.0000 5.1796
Ge Mo O
1 2 8
Cartesian
0.0000 0.0000 0.0000 Ge
1.7985 0.0000 3.1811 Mo
10.4322 0.0000 1.9985 Mo
1.1363 0.0000 1.4666 O
4.9849 1.4701 0.9124 O
3.5331 0.0000 3.1472 O
7.2459 1.4701 4.2672 O
4.9849 -1.4701 0.9124 O
8.6976 0.0000 2.0324 O
7.2459 -1.4701 4.2672 O
11.0944 0.0000 3.7130 O
```

Values from the calculation:
- density (kg/m³) = 3692
- E_tot (eV/atom) = -6.64
- symmetry = C2/m
- magnetization (μB per cell) = 0.00

***

Entry 4:
First-principles (PBE+U) data for GeMoO4 after structural relaxation, as listed in Alexandria.

Structure (POSCAR):
```
GeMoO4
1.0
-3.0752 3.0752 4.5263
3.0752 -3.0752 4.5263
3.0752 3.0752 -4.5263
Ge Mo O
1 1 4
Cartesian
0.0000 0.0000 0.0000 Ge
0.0000 3.0752 2.2632 Mo
0.4839 1.6835 1.2237 O
-1.3917 2.5913 3.3027 O
-0.4839 4.4669 1.2237 O
1.3917 3.5591 3.3027 O
```

Values from the calculation:
- density (kg/m³) = 2256
- E_tot (eV/atom) = -6.58
- symmetry = I-4
- magnetization (μB per cell) = 0.00